Material: Ca2ZnPb
Method: DFT, meta-GGA SCAN
State: PBEsol geometry

The formation energy is -0.535 eV per atom. For the spin magnetization, the calculation gives 0.0000 μB per atom. As for the total energy: -27.691 eV per atom. For the density of states at the Fermi level, the calculation gives 1.441 states/eV/cell.

The structure belongs to space group P4/mmm (No. 123); the cell edges are 3.7031, 3.7031 and 7.5951 Å and the angles 90.00°, 90.00° and 90.00°. The distinct sites, in fractional coordinates, are Ca at (0.0000, 0.0000, 0.2306), Zn at (0.5000, 0.5000, 0.0000) and Pb at (0.5000, 0.5000, 0.5000).